1.
VASP calculation (PBE-GGA) on a relaxed structure of Cs3Ge4Au9.

Unit cell a=10.617 b=10.617 c=10.617 alpha=40.03 beta=40.03 gamma=40.03
Element x y z (fractional)
Cs 0.000 0.000 0.000
Cs 0.135 0.135 0.135
Cs 0.568 0.568 0.568
Ge 0.284 0.284 0.284
Ge 0.437 0.437 0.437
Ge 0.698 0.698 0.698
Ge 0.852 0.852 0.852
Au 0.051 0.647 0.647
Au 0.068 0.068 0.567
Au 0.068 0.567 0.068
Au 0.085 0.489 0.489
Au 0.489 0.085 0.489
Au 0.489 0.489 0.085
Au 0.567 0.068 0.068
Au 0.647 0.051 0.647
Au 0.647 0.647 0.051



2.
VASP calculation (PBE-GGA) on a relaxed structure of Cs2HgGeAu.

Unit cell a=7.126 b=7.126 c=4.790 alpha=90.00 beta=90.00 gamma=90.00
Element x y z (fractional)
Cs 0.000 0.500 0.000
Cs 0.500 0.000 0.000
Hg 0.000 0.000 0.500
Ge 0.500 0.500 0.500
Au 0.500 0.500 0.000



no.,ΔE_f (eV/atom),VASP energy (eV per atom)
1,-0.19,-3.348
2,-0.13,-2.108